A plane-wave DFT calculation with PBE-GGA was carried out for a relaxed HfSc2PaC4 crystal.

Calculated values
E_tot   -9.12 eV/atom
Theoretical density   8204 kg/m3
Formation energy   -11.42 kcal/mol of atoms

Cell and atoms, written as POSCAR:
```
HfSc2PaC4
1.0
5.846 0.000 0.000
0.000 3.408 0.000
-2.057 0.000 5.562
Hf Sc Pa C
1 2 1 4
direct
0.000 0.000 0.000
0.500 0.000 0.500
0.500 0.500 0.000
0.000 0.500 0.500
0.241 0.000 0.754
0.244 0.500 0.243
0.756 0.500 0.757
0.759 0.000 0.246
```